DFT (PBE) results for crystalline PRuSeN at its relaxed geometry.

Summary:
As for the energy above the most stable polymorph in this dataset: 26.54 kJ/mol of atoms. As for the volume: 64.1 Å³ per cell. As for the energy relative to the elements, uncorrected: 4.586 kcal/mol of atoms.

abc: 3.756 3.939 5.092
angles: 79.07 76.15 61.55
Positions (direct):
Se 0.711 0.475 0.791
Ru 0.924 0.823 0.065
N 0.062 0.449 0.437
P 0.228 0.119 0.225

=====

DFT (PBE) results for crystalline AcLaPrSb at its relaxed geometry.

Summary:
As for the volume: 132.7 Å³ per cell. As for the energy relative to the elements, uncorrected: -7.293 kcal/mol of atoms.

abc: 5.725 5.725 5.725
angles: 60.00 60.00 60.00
Positions (direct):
Pr 0.250 0.250 0.250
Sb 0.000 0.000 0.000
La 0.750 0.750 0.750
Ac 0.500 0.500 0.500

=====

Among the records above, which one has the highest energy relative to the elements, uncorrected?
PRuSeN

=====

Repeat the first record exactly.
DFT (PBE) results for crystalline PRuSeN at its relaxed geometry.

Summary:
As for the energy above the most stable polymorph in this dataset: 26.54 kJ/mol of atoms. As for the volume: 64.1 Å³ per cell. As for the energy relative to the elements, uncorrected: 4.586 kcal/mol of atoms.

abc: 3.756 3.939 5.092
angles: 79.07 76.15 61.55
Positions (direct):
Se 0.711 0.475 0.791
Ru 0.924 0.823 0.065
N 0.062 0.449 0.437
P 0.228 0.119 0.225